VASP calculation (PBE) on a relaxed La6Ge2AsS3 crystal.

Volume: 337 Å³/cell
Formation energy without anion corrections: -19.65 eV/f.u.
E_tot: -6.29 eV per atom
Crystal system: monoclinic
DOS at the Fermi energy: 2.8 states/eV/f.u.

a b c (Å): 9.5889 9.5889 8.5656
angles (deg): 102.20 102.20 26.04
Closest atoms and distances in Å follow each position.
Element x y z (fractional)
1 La 0.9996 0.9996 0.2489  1 Ge 3.02, 3 S 3.03-3.04, 2 As 3.05
2 La 0.0004 0.0004 0.7511  1 Ge 3.02, 3 S 3.03-3.04, 2 As 3.05
3 La 0.3328 0.3328 0.4165  2 Ge 3.03, 3 S 3.04-3.05, 1 As 3.05
4 La 0.3336 0.3336 0.9163  3 S 3.03-3.04, 3 Ge 3.05-3.06
5 La 0.6664 0.6664 0.0837  3 S 3.03-3.04, 3 Ge 3.05-3.06
6 La 0.6672 0.6672 0.5835  2 Ge 3.03, 3 S 3.04-3.05, 1 As 3.05
7 Ge 0.1659 0.1659 0.8316  6 La 3.02-3.06
8 Ge 0.8341 0.8341 0.1684  6 La 3.02-3.06
9 As 0.5000 0.5000 0.5000  6 La 3.05
10 S 0.1658 0.1658 0.3337  6 La 3.03-3.05
11 S 0.5000 0.5000 0.0000  6 La 3.03-3.04
12 S 0.8342 0.8342 0.6663  6 La 3.03-3.05